This record from Alexandria describes a relaxed structure of MoIr2Ru. The functional is PBEsol.

Values from the calculation:
DFT total energy = -10.665 eV/atom
formation energy = -0.2684 eV per atom
space-group type = Pmm2, No. 25

a b c (Å): 2.726 4.335 4.758
angles (deg): 90.00 90.00 90.00
Element x y z (fractional)
Mo1 0.000 0.000 0.000
Ir1 0.500 0.000 0.514
Ir2 0.500 0.500 0.177
Ru1 0.000 0.500 0.670